Material: La3SmF
Method: DFT, GGA-PBE
State: optimized geometry

Unit cell a=5.2824 b=5.2824 c=5.2824 alpha=90.00 beta=90.00 gamma=90.00
Last column: nearest neighbours and their distance in Å.
Positions (direct):
Sm 0.5000 0.5000 0.5000  12 La 3.74
La 0.5000 0.0000 0.0000  2 F 2.64
La 0.0000 0.0000 0.5000  2 F 2.64
La 0.0000 0.5000 0.0000  2 F 2.64
F 0.0000 0.0000 0.0000  6 La 2.64

Summary:
formation energy (no corrections) = -1.02 eV per atom
V = 29.5 Å³ per atom
magnetization = 0.0 Bohr magnetons per cell
E = -26.48 eV for the cell shown
space group = Pm-3m

Material: Nb3RhSe
Method: DFT, GGA-PBE
State: optimized geometry

Unit cell a=4.8485 b=4.8485 c=4.8485 alpha=90.00 beta=90.00 gamma=90.00
Last column: nearest neighbours and their distance in Å.
Positions (direct):
Nb 0.0000 0.0000 0.5000  2 Rh 2.42
Nb 0.5000 0.0000 0.0000  2 Rh 2.42
Nb 0.0000 0.5000 0.0000  2 Rh 2.42
Se 0.5000 0.5000 0.5000  12 Nb 3.43
Rh 0.0000 0.0000 0.0000  6 Nb 2.42

Summary:
formation energy (no corrections) = 0.96 eV per atom
V = 22.8 Å³ per atom
magnetization = 0.0 Bohr magnetons per cell
E = -36.23 eV for the cell shown
energy relative to the lowest polymorph listed for this composition = 177 meV/atom
space group = Pm-3m

Material: Ba2NiIr2
Method: DFT, GGA-PBE
State: optimized geometry

Unit cell a=6.7974 b=6.7974 c=5.1033 alpha=90.00 beta=90.00 gamma=90.00
Last column: nearest neighbours and their distance in Å.
Positions (direct):
Ba 0.8160 0.3160 0.5000  6 Ir 3.11-3.35
Ba 0.6840 0.8160 0.5000  6 Ir 3.11-3.35
Ba 0.3160 0.1840 0.5000  6 Ir 3.11-3.35
Ba 0.1840 0.6840 0.5000  6 Ir 3.11-3.35
Ir 0.1302 0.3698 0.0000  1 Ir 2.50, 2 Ni 2.66
Ir 0.3698 0.8698 0.0000  1 Ir 2.50, 2 Ni 2.66
Ir 0.8698 0.6302 0.0000  1 Ir 2.50, 2 Ni 2.66
Ir 0.6302 0.1302 0.0000  1 Ir 2.50, 2 Ni 2.66
Ni 0.5000 0.5000 0.0000  4 Ir 2.66
Ni 0.0000 0.0000 0.0000  4 Ir 2.66

Summary:
ΔE_f = 0.21 eV per atom
V = 23.6 Å³ per atom
magnetization = 0.0 Bohr magnetons per cell
E = -52.56 eV for the cell shown
space group = P4/mbm

Material: PmNdErTh
Method: DFT, GGA-PBE
State: optimized geometry

Unit cell a=5.7250 b=5.7250 c=5.7250 alpha=60.00 beta=60.00 gamma=60.00
Last column: nearest neighbours and their distance in Å.
Positions (direct):
Nd 0.5000 0.5000 0.5000  4 Er 3.51, 4 Pm 3.51
Th 0.0000 0.0000 0.0000  4 Pm 3.51, 4 Er 3.51
Er 0.2500 0.2500 0.2500  4 Nd 3.51, 4 Th 3.51
Pm 0.7500 0.7500 0.7500  4 Th 3.51, 4 Nd 3.51

Summary:
ΔE_f = 0.16 eV per atom
V = 33.2 Å³ per atom
magnetization = 0.0 Bohr magnetons per cell
E = -20.85 eV for the cell shown
energy relative to the lowest polymorph listed for this composition = 136 meV/atom
space group = F-43m

Material: BeAl2Hg
Method: DFT, GGA-PBE
State: optimized geometry

Unit cell a=4.1386 b=4.1386 c=8.9667 alpha=76.66 beta=76.66 gamma=90.00
Last column: nearest neighbours and their distance in Å.
Positions (direct):
Al 0.5859 0.1250 0.2500  2 Be 2.51, 2 Hg 2.64, 2 Al 2.71
Al 0.8750 0.8359 0.7500  2 Be 2.51, 2 Hg 2.64, 2 Al 2.71
Al 0.3750 0.4141 0.7500  2 Be 2.51, 2 Hg 2.64, 2 Al 2.71
Al 0.1641 0.6250 0.2500  2 Be 2.51, 2 Hg 2.64, 2 Al 2.71
Be 0.2500 0.7500 0.5000  4 Al 2.51
Be 0.5000 0.5000 0.0000  4 Al 2.51
Hg 0.7500 0.2500 0.5000  4 Al 2.64, 4 Be 2.93
Hg 0.0000 0.0000 0.0000  4 Al 2.64, 4 Be 2.93

Summary:
ΔE_f = 0.34 eV per atom
V = 18.1 Å³ per atom
magnetization = 0.0 Bohr magnetons per cell
E = -20.27 eV for the cell shown
energy relative to the lowest polymorph listed for this composition = 80 meV/atom
space group = I-42d

Material: TbZnAu2
Method: DFT, GGA-PBE
State: optimized geometry

Unit cell a=3.8792 b=4.6004 c=4.6004 alpha=90.00 beta=90.00 gamma=90.00
Last column: nearest neighbours and their distance in Å.
Positions (direct):
Zn 0.5000 0.0000 0.0000  8 Au 3.01, 4 Tb 3.25
Tb 0.5000 0.5000 0.5000  8 Au 3.01, 4 Zn 3.25
Au 0.0000 0.0000 0.5000  4 Zn 3.01, 4 Tb 3.01, 4 Au 3.25
Au 0.0000 0.5000 0.0000  4 Zn 3.01, 4 Tb 3.01, 4 Au 3.25

Summary:
ΔE_f = -0.51 eV per atom
V = 20.5 Å³ per atom
magnetization = 0.0 Bohr magnetons per cell
E = -14.48 eV for the cell shown
space group = P4/mmm

Material: Tb2Co3Ge5
Method: DFT, GGA-PBE
State: optimized geometry

Unit cell a=4.0560 b=6.6607 c=12.3147 alpha=90.00 beta=99.48 gamma=90.00
Last column: nearest neighbours and their distance in Å.
Positions (direct):
Co 0.9469 0.4560 0.8937  4 Ge 2.34-2.56
Co 0.6078 0.5068 0.2157  6 Ge 2.40-2.66
Co 0.2207 0.2395 0.4415  7 Ge 2.44-2.66
Co 0.0531 0.9560 0.1063  4 Ge 2.34-2.56
Co 0.3922 0.0068 0.7843  6 Ge 2.40-2.66
Co 0.7793 0.7395 0.5585  7 Ge 2.44-2.66
Tb 0.1744 0.7503 0.3488  9 Ge 2.91-3.24, 5 Co 3.06-3.26
Tb 0.8256 0.2503 0.6512  9 Ge 2.91-3.24, 5 Co 3.06-3.26
Tb 0.5237 0.2386 0.0475  3 Co 2.71-2.86, 4 Ge 2.92-3.01
Tb 0.4763 0.7386 0.9525  3 Co 2.71-2.86, 4 Ge 2.92-3.01
Ge 0.5949 0.8694 0.1898  3 Co 2.34-2.44
Ge 0.9497 0.0739 0.8994  4 Co 2.50-2.63, 1 Ge 2.74
Ge 0.2947 0.9457 0.5894  4 Co 2.40-2.66
Ge 0.1205 0.2523 0.2409  4 Co 2.44-2.66
Ge 0.0503 0.5739 0.1006  4 Co 2.50-2.63, 1 Ge 2.74
Ge 0.8795 0.7523 0.7591  4 Co 2.44-2.66
Ge 0.4051 0.3694 0.8102  3 Co 2.34-2.44
Ge 0.7125 0.0323 0.4250  3 Co 2.46-2.54
Ge 0.2875 0.5323 0.5750  3 Co 2.46-2.54
Ge 0.7053 0.4457 0.4106  4 Co 2.40-2.66

Summary:
ΔE_f = -0.51 eV per atom
V = 16.4 Å³ per atom
magnetization = 0.0 Bohr magnetons per cell
E = -117.54 eV for the cell shown
energy relative to the lowest polymorph listed for this composition = 84 meV/atom
space group = Cmc2_1

Material: ThNpV
Method: DFT, GGA-PBE
State: optimized geometry

Unit cell a=3.4334 b=5.2532 c=7.2051 alpha=95.70 beta=90.00 gamma=90.00
Last column: nearest neighbours and their distance in Å.
Positions (direct):
Np 0.2500 0.8563 0.5393  2 Np 2.39
Np 0.7500 0.1437 0.4607  2 Np 2.39
V 0.7500 0.9498 0.8729  2 V 2.53
V 0.2500 0.0502 0.1271  2 V 2.53
Th 0.2500 0.4350 0.7992  3 Np 3.04-3.24, 5 V 3.16-3.26, 2 Th 3.38
Th 0.7500 0.5650 0.2008  3 Np 3.04-3.24, 5 V 3.16-3.26, 2 Th 3.38

Summary:
ΔE_f = 0.34 eV per atom
V = 21.6 Å³ per atom
magnetization = 0.0 Bohr magnetons per cell
E = -56.92 eV for the cell shown
space group = P2_1/m

Material: Sc2Si4Tc
Method: DFT, GGA-PBE
State: optimized geometry

Unit cell a=4.6051 b=4.6051 c=7.3522 alpha=71.75 beta=71.75 gamma=90.00
Last column: nearest neighbours and their distance in Å.
Positions (direct):
Si 0.8144 0.8144 0.3712  1 Tc 2.45, 1 Sc 2.57
Si 0.0000 0.5000 0.0000  2 Tc 2.30
Si 0.5000 0.0000 0.0000  2 Tc 2.30
Si 0.1856 0.1856 0.6288  1 Tc 2.45, 1 Sc 2.57
Sc 0.6191 0.6191 0.7617  5 Si 2.57-2.79
Sc 0.3809 0.3809 0.2383  5 Si 2.57-2.79
Tc 0.0000 0.0000 0.0000  6 Si 2.30-2.45

Summary:
formation energy (no corrections) = 0.05 eV per atom
V = 20.0 Å³ per atom
magnetization = 0.0 Bohr magnetons per cell
E = -44.40 eV for the cell shown
space group = I4/mmm

Material: Ho2ErAl2Zn2
Method: DFT, GGA-PBE
State: optimized geometry

Unit cell a=4.4908 b=4.4908 c=9.3245 alpha=76.07 beta=76.07 gamma=60.00
Last column: nearest neighbours and their distance in Å.
Positions (direct):
Ho 0.8729 0.8729 0.3814  3 Al 3.03, 3 Zn 3.10, 3 Ho 3.35
Ho 0.1271 0.1271 0.6186  3 Al 3.03, 3 Zn 3.10, 3 Ho 3.35
Zn 0.3969 0.3969 0.8092  3 Al 2.60
Zn 0.6031 0.6031 0.1908  3 Al 2.60
Er 0.0000 0.0000 0.0000  6 Zn 3.11, 6 Al 3.19, 2 Ho 3.42
Al 0.7356 0.7356 0.7932  3 Zn 2.60
Al 0.2644 0.2644 0.2068  3 Zn 2.60

Summary:
ΔE_f = -0.31 eV per atom
V = 22.3 Å³ per atom
magnetization = 0.0 Bohr magnetons per cell
E = -25.89 eV for the cell shown
space group = R-3m

Material: Na2AuN2
Method: DFT, GGA-PBE
State: optimized geometry

Unit cell a=4.4017 b=9.3299 c=11.0565 alpha=21.71 beta=78.52 gamma=76.36
Last column: nearest neighbours and their distance in Å.
Positions (direct):
N 0.0333 0.4003 0.0330  1 N 1.18
N 0.5334 0.9003 0.5330  1 N 1.18
N 0.9667 0.5997 0.9670  1 N 1.18
N 0.4666 0.0997 0.4670  1 N 1.18
Na 0.8781 0.3656 0.3782  4 N 2.62-2.70
Na 0.1219 0.6344 0.6218  4 N 2.62-2.70
Na 0.6219 0.1344 0.1218  4 N 2.62-2.70
Na 0.3781 0.8656 0.8782  4 N 2.62-2.70
Au 0.2500 0.7500 0.2500  4 Au 3.04, 8 Na 3.08-3.15
Au 0.7500 0.2500 0.7500  4 Au 3.04, 8 Na 3.08-3.15

Summary:
formation energy (no corrections) = -0.11 eV per atom
V = 16.3 Å³ per atom
magnetization = 0.0 Bohr magnetons per cell
E = -46.24 eV for the cell shown
energy relative to the lowest polymorph listed for this composition = 0 meV/atom
space group = Cmmm

Material: RbAlSbI2
Method: DFT, GGA-PBE
State: optimized geometry

Unit cell a=6.8501 b=6.8501 c=6.7928 alpha=90.00 beta=90.00 gamma=90.00
Last column: nearest neighbours and their distance in Å.
Positions (direct):
I 0.5000 0.0000 0.0000  2 Rb 3.43
I 0.0000 0.5000 0.0000  2 Rb 3.43
Rb 0.0000 0.0000 0.0000  2 Sb 3.40, 4 I 3.43
Al 0.5000 0.5000 0.5000  8 I 4.82, 4 Sb 4.84
Sb 0.0000 0.0000 0.5000  2 Rb 3.40

Summary:
formation energy (no corrections) = 0.43 eV per atom
V = 63.7 Å³ per atom
magnetization = 3.1 Bohr magnetons per cell
E = -9.79 eV for the cell shown
energy relative to the lowest polymorph listed for this composition = 803 meV/atom
space group = P4/mmm

The highest V belongs to which entry? RbAlSbI2

Among the records above, which one has the highest V? RbAlSbI2

What did the fourth record say?
Material: PmNdErTh
Method: DFT, GGA-PBE
State: optimized geometry

Unit cell a=5.7250 b=5.7250 c=5.7250 alpha=60.00 beta=60.00 gamma=60.00
Last column: nearest neighbours and their distance in Å.
Positions (direct):
Nd 0.5000 0.5000 0.5000  4 Er 3.51, 4 Pm 3.51
Th 0.0000 0.0000 0.0000  4 Pm 3.51, 4 Er 3.51
Er 0.2500 0.2500 0.2500  4 Nd 3.51, 4 Th 3.51
Pm 0.7500 0.7500 0.7500  4 Th 3.51, 4 Nd 3.51

Summary:
ΔE_f = 0.16 eV per atom
V = 33.2 Å³ per atom
magnetization = 0.0 Bohr magnetons per cell
E = -20.85 eV for the cell shown
energy relative to the lowest polymorph listed for this composition = 136 meV/atom
space group = F-43m